(1)
LaScCr2: relaxed, GGA-PBE.

a = 9.5606 Å, b = 9.5606 Å, c = 9.5606 Å
α = 19.75°, β = 19.75°, γ = 19.75°
Last column: magnetic moment on the atom in μB.
Fractional coordinates of all 4 atoms:
Cr: 0.0051 0.0051 0.0051  3.12
Cr: 0.4949 0.4949 0.4949  3.12
La: 0.2500 0.2500 0.2500  -0.16
Sc: 0.7500 0.7500 0.7500  -0.24

Values from the calculation:
The value obtained for the energy relative to the lowest polymorph listed for this composition is 1.306 eV/f.u. As for the space-group type: R-3m, No. 166.

(2)
KTaAg2Se4: relaxed, GGA-PBE.

a = 10.2616 Å, b = 10.2616 Å, c = 8.3800 Å
α = 90.00°, β = 90.00°, γ = 145.06°
Fractional coordinates of all 16 atoms:
K: 0.4250 0.7997 0.7500
K: 0.7997 0.4250 0.2500
Ta: 0.5286 0.2991 0.7500
Ta: 0.2991 0.5286 0.2500
Ag: 0.3796 0.3796 0.0000
Ag: 0.3796 0.3796 0.5000
Ag: 0.0311 0.7946 0.7500
Ag: 0.7946 0.0311 0.2500
Se: 0.6577 0.6360 0.7500
Se: 0.6360 0.6577 0.2500
Se: 0.3116 0.0694 0.9930
Se: 0.0694 0.3116 0.4930
Se: 0.4064 0.8441 0.2500
Se: 0.0694 0.3116 0.0070
Se: 0.3116 0.0694 0.5070
Se: 0.8441 0.4064 0.7500

Values from the calculation:
The value obtained for the uncorrected formation energy is -0.675 eV per atom. The value obtained for the energy relative to the lowest polymorph listed for this composition is 0.000 eV/f.u. As for the space-group type: Ama2, No. 40.

(3)
Ca2NdSn9: relaxed, GGA-PBE.

a = 4.7628 Å, b = 4.7628 Å, c = 14.3089 Å
α = 90.00°, β = 90.00°, γ = 90.00°
Fractional coordinates of all 12 atoms:
Ca: 0.0000 0.0000 0.3326
Ca: 0.0000 0.0000 0.6674
Nd: 0.0000 0.0000 0.0000
Sn: 0.5000 0.5000 0.0000
Sn: 0.5000 0.5000 0.3346
Sn: 0.5000 0.5000 0.6654
Sn: 0.5000 0.0000 0.1687
Sn: 0.5000 0.0000 0.5000
Sn: 0.5000 0.0000 0.8313
Sn: 0.0000 0.5000 0.1687
Sn: 0.0000 0.5000 0.5000
Sn: 0.0000 0.5000 0.8313

Values from the calculation:
As for the space-group type: P4/mmm, No. 123.

Calculated DFT total energy (eV per atom), listed in the same order as above: -6.933; -4.749; -4.162
Calculated N(E_F) (states/eV/cell), listed in the same order as above: 5.08; 0.00; 4.74